[1]
Compound: ZrMnCoAg2
Source: the Alexandria database
Functional: PBE
Structure: relaxed

a = 4.806 Å, b = 4.806 Å, c = 4.410 Å
α = 90.00°, β = 90.00°, γ = 90.00°
Space group P4/mmm (No. 123)
Asymmetric unit:
Zr 0.000 0.000 0.000 x1
Mn 0.000 0.000 0.500 x1
Co 0.500 0.500 0.000 x1
Ag 0.000 0.500 0.500 x2

ΔH_f (0 K) (eV/atom): 1.319

[2]
Compound: K2InRh
Source: the Alexandria database
Functional: PBE
Structure: relaxed

a = 3.392 Å, b = 4.083 Å, c = 10.075 Å
α = 90.00°, β = 90.00°, γ = 90.00°
Space group Pmm2 (No. 25)
Asymmetric unit:
K 0.000 0.000 0.000 x1
K 0.500 0.500 0.401 x1
In 0.500 0.500 0.724 x1
Rh 0.000 0.000 0.683 x1

ΔH_f (0 K) (eV/atom): 0.022

[3]
Compound: YCl
Source: the Alexandria database
Functional: PBE
Structure: relaxed

a = 3.626 Å, b = 18.488 Å, c = 3.629 Å
α = 90.00°, β = 90.00°, γ = 90.00°
Space group Cmcm (No. 63)
Asymmetric unit:
Y 0.000 0.182 0.250 x4
Cl 0.000 0.392 0.250 x4

Formation energy from raw total energies (meV/atom): -1402

[4]
Compound: LiLaMg
Source: the Alexandria database
Functional: PBE
Structure: relaxed

a = 9.3183 Å, b = 9.3183 Å, c = 3.2372 Å
α = 90.00°, β = 90.00°, γ = 120.00°
Space group P-62m (No. 189)
Asymmetric unit:
Li 0.0000 0.0000 0.0000 x1
Li 0.3333 0.6667 0.5000 x2
La 0.0000 0.3113 0.5000 x3
Mg 0.0000 0.6478 0.0000 x3

Excess energy over the best structure of this formula in the dataset (meV per atom): 52
ΔH_f (0 K) (eV/atom): 0.022

[5]
Compound: NbAlCo
Source: the Alexandria database
Functional: PBE
Structure: relaxed

a = 7.966 Å, b = 5.035 Å, c = 8.474 Å
α = 90.00°, β = 90.00°, γ = 90.00°
Space group Amm2 (No. 38)
Asymmetric unit:
Nb 0.175 0.000 0.000 x4
Nb 0.294 0.000 0.670 x4
Al 0.238 0.000 0.328 x4
Al 0.500 0.243 0.929 x4
Co 0.000 0.000 0.508 x2
Co 0.000 0.240 0.752 x4
Co 0.500 0.000 0.174 x2

ΔH_f (0 K) (eV/atom): -0.387

[6]
Compound: BaAgMo2
Source: the Alexandria database
Functional: PBE
Structure: relaxed

a = 10.639 Å, b = 3.346 Å, c = 5.929 Å
α = 90.00°, β = 102.82°, γ = 90.00°
Space group C2/m (No. 12)
Asymmetric unit:
Ba 0.000 0.000 0.000 x2
Ag 0.000 0.500 0.500 x2
Mo 0.222 0.000 0.620 x4

Excess energy over the best structure of this formula in the dataset (meV per atom): 225
ΔH_f (0 K) (eV/atom): 0.750

[7]
Compound: Tl3AuSe2O8
Source: the Alexandria database
Functional: PBE
Structure: relaxed

a = 6.0886 Å, b = 6.0886 Å, c = 7.9719 Å
α = 90.00°, β = 90.00°, γ = 120.00°
Space group P-3m1 (No. 164)
Asymmetric unit:
Tl 0.0000 0.0000 0.0000 x1
Tl 0.3333 0.6667 0.6749 x2
Au 0.0000 0.0000 0.5000 x1
Se 0.3333 0.6667 0.2172 x2
O 0.1818 0.3635 0.2897 x6
O 0.3333 0.6667 0.0085 x2

Formation energy from raw total energies (meV/atom): -594

[8]
Compound: Tb2B10Ir
Source: the Alexandria database
Functional: PBE
Structure: relaxed

a = 5.698 Å, b = 11.346 Å, c = 4.178 Å
α = 90.00°, β = 90.00°, γ = 90.00°
Space group Pbam (No. 55)
Asymmetric unit:
Tb 0.205 0.134 0.000 x4
B 0.056 0.307 0.500 x4
B 0.119 0.957 0.500 x4
B 0.137 0.803 0.500 x4
B 0.220 0.381 0.199 x8
Ir 0.000 0.500 0.500 x2

ΔH_f (0 K) (eV/atom): -0.541

[9]
Compound: RuAu2Cl2
Source: the Alexandria database
Functional: PBE
Structure: relaxed

a = 3.448 Å, b = 3.448 Å, c = 19.909 Å
α = 90.00°, β = 90.00°, γ = 90.00°
Space group I4/mmm (No. 139)
Asymmetric unit:
Ru 0.000 0.000 0.000 x2
Au 0.000 0.000 0.427 x4
Cl 0.000 0.500 0.250 x4

Excess energy over the best structure of this formula in the dataset (meV per atom): 80
Formation energy from raw total energies (meV/atom): 849

[10]
Compound: Cs2CaBe2S4
Source: the Alexandria database
Functional: PBE
Structure: relaxed

a = 15.045 Å, b = 3.875 Å, c = 8.107 Å
α = 90.00°, β = 109.59°, γ = 90.00°
Space group C2/m (No. 12)
Asymmetric unit:
Cs 0.133 0.000 0.039 x4
Ca 0.000 0.000 0.500 x2
Be 0.176 0.500 0.466 x4
S 0.040 0.500 0.289 x4
S 0.206 0.000 0.627 x4

Formation energy from raw total energies (meV/atom): -1300

[11]
Compound: CrTcBr
Source: the Alexandria database
Functional: PBE
Structure: relaxed

a = 5.988 Å, b = 5.988 Å, c = 5.988 Å
α = 90.00°, β = 90.00°, γ = 90.00°
Space group F-43m (No. 216)
Asymmetric unit:
Cr 0.000 0.000 0.000 x4
Tc 0.250 0.250 0.750 x4
Br 0.000 0.000 0.500 x4

Excess energy over the best structure of this formula in the dataset (meV per atom): 451
Formation energy from raw total energies (meV/atom): 854

[12]
Compound: Nd6Si2HI3
Source: the Alexandria database
Functional: PBE
Structure: relaxed

a = 7.258 Å, b = 12.557 Å, c = 8.104 Å
α = 90.00°, β = 107.76°, γ = 90.00°
Space group C2/m (No. 12)
Asymmetric unit:
Nd 0.225 0.162 0.192 x8
Nd 0.235 0.500 0.203 x4
Si 0.000 0.334 0.000 x4
H 0.000 0.000 0.000 x2
I 0.000 0.176 0.500 x4
I 0.000 0.500 0.500 x2

Electronic total energy (eV per atom): -4.734